(1)
Here is a geometry-optimized MgRh2Cl structure from Alexandria via LeMat-Bulk. Energies are from PBE.

```
MgRh2Cl
1.0
-2.4896 1.5627 0.2172
0.0137 -2.5228 -1.5240
-2.0575 -4.2540 7.0232
Cl Rh Mg
1 2 1
Direct
0.5000 0.5000 0.2500 Cl
0.0000 0.0000 0.4923 Rh
0.0000 0.0000 0.0077 Rh
0.5000 0.5000 0.7500 Mg
```

SG = Cmmm
energy above the most stable polymorph in this dataset = 363 meV/atom
energy relative to the elements, uncorrected = 0.14 eV per atom
density of states at the Fermi level = 4.54 states/eV/f.u.
uncorrected energy = -4.395 eV/atom
magnetic moment = 0.0 Bohr magnetons per cell


(2)
Here is a geometry-optimized MgRhCl3 structure from Alexandria via LeMat-Bulk. Energies are from PBE.

```
MgRhCl3
1.0
4.8754 0.0000 0.0000
0.0000 4.8754 0.0000
0.0000 0.0000 4.8754
Cl Mg Rh
3 1 1
Direct
0.0000 0.5000 0.0000 Cl
0.0000 0.0000 0.5000 Cl
0.5000 0.0000 0.0000 Cl
0.0000 0.0000 0.0000 Mg
0.5000 0.5000 0.5000 Rh
```

SG = Pm-3m
energy above the most stable polymorph in this dataset = 0 meV/atom
energy relative to the elements, uncorrected = -0.45 eV per atom
density of states at the Fermi level = 5.97 states/eV/f.u.
uncorrected energy = -3.342 eV/atom
magnetic moment = 2.0 Bohr magnetons per cell


(3)
Here is a geometry-optimized MgRh2Cl structure from Alexandria via LeMat-Bulk. Energies are from PBE.

```
MgRh2Cl
1.0
4.6862 0.0000 0.0000
0.0000 2.9599 -0.0021
0.0000 0.0343 4.5806
Rh Cl Mg
2 1 1
Direct
0.0000 0.4761 0.4999 Rh
0.0000 0.0239 0.0001 Rh
0.5000 0.2500 0.2500 Cl
0.5000 0.7500 0.7500 Mg
```

SG = P2/m
energy above the most stable polymorph in this dataset = 230 meV/atom
energy relative to the elements, uncorrected = 0.01 eV per atom
density of states at the Fermi level = 4.98 states/eV/f.u.
uncorrected energy = -4.529 eV/atom
magnetic moment = 0.0 Bohr magnetons per cell


(4)
Here is a geometry-optimized MgRh2Cl structure from Alexandria via LeMat-Bulk. Energies are from PBE.

```
MgRh2Cl
1.0
-4.2773 -1.9626 -2.5500
-1.3792 -5.0682 1.0299
0.7112 4.9991 1.7757
Rh Cl Mg
2 1 1
Direct
0.4850 0.4850 0.0000 Rh
0.0150 0.0150 0.0000 Rh
0.2500 0.7500 0.5000 Cl
0.7500 0.2500 0.5000 Mg
```

SG = Immm
energy above the most stable polymorph in this dataset = 223 meV/atom
energy relative to the elements, uncorrected = 0.00 eV per atom
density of states at the Fermi level = 4.09 states/eV/f.u.
uncorrected energy = -4.535 eV/atom
magnetic moment = 0.0 Bohr magnetons per cell


(5)
Here is a geometry-optimized Mg4RhCl structure from Alexandria via LeMat-Bulk. Energies are from PBE.

```
Mg4RhCl
1.0
2.5102 -4.1843 2.7393
-1.6319 -1.3257 5.1859
-2.7513 -4.7831 0.9306
Mg Rh Cl
4 1 1
Direct
0.8714 0.3762 0.3762 Mg
0.3762 0.3762 0.8714 Mg
0.3762 0.3762 0.3762 Mg
0.3762 0.8714 0.3762 Mg
0.7500 0.7500 0.7500 Rh
0.0000 0.0000 0.0000 Cl
```

SG = F-43m
energy relative to the elements, uncorrected = 0.15 eV per atom
density of states at the Fermi level = 2.81 states/eV/f.u.
uncorrected energy = -2.444 eV/atom
magnetic moment = 0.0 Bohr magnetons per cell


(6)
Here is a geometry-optimized Mg3RhCl structure from Alexandria via LeMat-Bulk. Energies are from PBE.

```
Mg3RhCl
1.0
4.6936 0.0000 0.0000
0.0000 4.6936 0.0000
0.0000 0.0000 4.6936
Cl Mg Rh
1 3 1
Direct
0.0000 0.0000 0.0000 Cl
0.0000 0.0000 0.5000 Mg
0.5000 0.0000 0.0000 Mg
0.0000 0.5000 0.0000 Mg
0.5000 0.5000 0.5000 Rh
```

SG = Pm-3m
energy above the most stable polymorph in this dataset = 395 meV/atom
energy relative to the elements, uncorrected = 0.16 eV per atom
density of states at the Fermi level = 2.07 states/eV/f.u.
uncorrected energy = -2.632 eV/atom
magnetic moment = 0.0 Bohr magnetons per cell


(7)
Here is a geometry-optimized MgRh2Cl structure from Alexandria via LeMat-Bulk. Energies are from PBE.

```
MgRh2Cl
1.0
3.0908 0.0000 0.0000
0.0000 3.0907 0.0000
0.0000 0.0000 7.1711
Rh Cl Mg
2 1 1
Direct
0.5000 0.5000 0.1986 Rh
0.0000 0.0000 0.0096 Rh
0.0000 0.0000 0.5354 Cl
0.5000 0.5000 0.7564 Mg
```

SG = P4mm
energy above the most stable polymorph in this dataset = 44 meV/atom
energy relative to the elements, uncorrected = -0.18 eV per atom
density of states at the Fermi level = 4.71 states/eV/f.u.
uncorrected energy = -4.714 eV/atom
magnetic moment = 0.0 Bohr magnetons per cell


(8)
Here is a geometry-optimized MgRh2Cl structure from Alexandria via LeMat-Bulk. Energies are from PBE.

```
MgRh2Cl
1.0
5.1785 0.0035 -0.0116
4.3390 2.8267 -0.0116
0.2268 0.0674 4.3978
Cl Rh Mg
1 2 1
Direct
0.7500 0.7500 0.7500 Cl
0.5333 0.5333 0.4820 Rh
0.9667 0.9667 0.0180 Rh
0.2500 0.2500 0.2500 Mg
```

SG = C2/m
energy above the most stable polymorph in this dataset = 106 meV/atom
energy relative to the elements, uncorrected = -0.12 eV per atom
density of states at the Fermi level = 3.26 states/eV/f.u.
uncorrected energy = -4.652 eV/atom
magnetic moment = 0.0 Bohr magnetons per cell


(9)
Here is a geometry-optimized MgRh2Cl structure from Alexandria via LeMat-Bulk. Energies are from PBE.

```
MgRh2Cl
1.0
5.1037 0.1726 0.0000
2.1000 4.6548 0.0000
-3.6019 -2.4137 2.6978
Rh Mg Cl
2 1 1
Direct
0.2500 0.7500 0.5000 Rh
0.0000 0.0000 0.0000 Rh
0.7500 0.2500 0.5000 Mg
0.5000 0.5000 0.0000 Cl
```

SG = I-4m2
energy above the most stable polymorph in this dataset = 437 meV/atom
energy relative to the elements, uncorrected = 0.21 eV per atom
density of states at the Fermi level = 5.01 states/eV/f.u.
uncorrected energy = -4.321 eV/atom
magnetic moment = 0.8 Bohr magnetons per cell


(10)
Here is a geometry-optimized Mg3RhCl structure from Alexandria via LeMat-Bulk. Energies are from PBE.

```
Mg3RhCl
1.0
-4.0519 2.8245 -0.7011
-1.8427 -3.4203 -3.1294
-2.2525 -2.2828 3.8213
Mg Cl Rh
3 1 1
Direct
0.5000 0.0000 0.0000 Mg
0.0000 0.0000 0.5000 Mg
0.0000 0.5000 0.0000 Mg
0.5000 0.5000 0.5000 Cl
0.0000 0.0000 0.0000 Rh
```

SG = Pm-3m
energy above the most stable polymorph in this dataset = 0 meV/atom
energy relative to the elements, uncorrected = -0.23 eV per atom
density of states at the Fermi level = 1.71 states/eV/f.u.
uncorrected energy = -3.027 eV/atom
magnetic moment = 0.0 Bohr magnetons per cell


(11)
Here is a geometry-optimized MgRh2Cl structure from Alexandria via LeMat-Bulk. Energies are from PBE.

```
MgRh2Cl
1.0
-0.1456 2.2720 2.0979
-1.4997 -1.8886 1.9413
5.6471 -1.9313 2.4836
Rh Cl Mg
2 1 1
Direct
0.0000 0.0000 0.9871 Rh
0.0000 0.0000 0.5129 Rh
0.5000 0.5000 0.2500 Cl
0.5000 0.5000 0.7500 Mg
```

SG = P4/mmm
energy above the most stable polymorph in this dataset = 299 meV/atom
energy relative to the elements, uncorrected = 0.08 eV per atom
density of states at the Fermi level = 4.58 states/eV/f.u.
uncorrected energy = -4.459 eV/atom
magnetic moment = 0.0 Bohr magnetons per cell


(12)
Here is a geometry-optimized MgRh2Cl structure from Alexandria via LeMat-Bulk. Energies are from PBE.

```
MgRh2Cl
1.0
-1.1621 -5.1399 1.0508
2.0154 -3.8820 -3.1212
0.9565 4.1183 3.3164
Rh Cl Mg
2 1 1
Direct
0.2685 0.7685 0.5000 Rh
0.0160 0.0160 0.0000 Rh
0.4816 0.4816 0.0000 Cl
0.7338 0.2338 0.5000 Mg
```

SG = Imm2
energy above the most stable polymorph in this dataset = 305 meV/atom
energy relative to the elements, uncorrected = 0.08 eV per atom
density of states at the Fermi level = 4.76 states/eV/f.u.
uncorrected energy = -4.453 eV/atom
magnetic moment = 0.0 Bohr magnetons per cell